An optimized crystal structure of La6IrPt2Rh, computed with PBE.

The structure in POSCAR format:
```
La6IrPt2Rh
1.0
7.294 0.000 0.000
-3.639 6.322 0.000
-3.647 -2.108 6.750
La Ir Pt Rh
6 1 2 1
Direct
0.000 0.000 0.000
0.000 0.158 0.499
0.341 0.845 0.499
0.345 0.661 0.000
0.684 0.345 0.000
0.688 0.504 0.499
0.845 0.753 0.252
0.501 0.581 0.737
0.505 0.083 0.242
0.845 0.253 0.752
```

space group: P1
formation energy: -0.8090 eV/atom


An optimized crystal structure of ZrZn2Te, computed with PBE.

The structure in POSCAR format:
```
ZrZn2Te
1.0
3.732 0.000 0.000
-1.866 3.232 0.000
0.000 0.000 22.368
Zr Zn Te
3 6 3
Direct
0.000 0.000 0.000
0.333 0.667 0.667
0.667 0.333 0.333
0.000 0.000 0.251
0.000 0.000 0.521
0.333 0.667 0.188
0.333 0.667 0.917
0.667 0.333 0.584
0.667 0.333 0.855
0.000 0.000 0.753
0.333 0.667 0.420
0.667 0.333 0.087
```

space group: R3m
formation energy without anion corrections: -0.42 eV per formula unit


An optimized crystal structure of Bi2AsH3Pd8, computed with PBE.

The structure in POSCAR format:
```
Bi2AsH3Pd8
1.0
2.934 1.694 7.045
-2.934 1.694 7.045
0.000 -3.388 7.045
Bi As H Pd
2 1 3 8
Direct
0.000 0.000 0.000
0.345 0.345 0.345
0.640 0.640 0.640
0.505 0.971 0.971
0.971 0.505 0.971
0.971 0.971 0.505
0.220 0.724 0.724
0.221 0.221 0.221
0.279 0.279 0.781
0.279 0.781 0.279
0.724 0.220 0.724
0.724 0.724 0.220
0.767 0.767 0.767
0.781 0.279 0.279
```

total energy: -4.709 eV per atom
space group: R3m


An optimized crystal structure of K12CdAu5, computed with PBE.

The structure in POSCAR format:
```
K12CdAu5
1.0
-5.452 5.682 6.187
5.452 -5.682 6.187
5.452 5.682 -6.187
K Cd Au
12 1 5
Direct
0.032 0.227 0.806
0.176 0.280 0.457
0.176 0.720 0.896
0.330 0.022 0.692
0.330 0.638 0.308
0.421 0.227 0.194
0.579 0.773 0.806
0.670 0.362 0.692
0.670 0.978 0.308
0.824 0.280 0.104
0.824 0.720 0.543
0.968 0.773 0.194
0.500 0.500 0.000
0.000 0.000 0.000
0.116 0.616 0.500
0.362 0.000 0.362
0.638 0.000 0.638
0.884 0.384 0.500
```

space group: Immm
formation energy: -0.1899 eV/atom


An optimized crystal structure of La2ZnRe, computed with PBE.

The structure in POSCAR format:
```
La2ZnRe
1.0
3.457 0.000 0.000
0.000 5.237 0.000
0.000 0.000 10.457
La Zn Re
4 2 2
Direct
0.000 0.000 0.000
0.000 0.500 0.347
0.500 0.000 0.347
0.500 0.500 0.000
0.000 0.000 0.598
0.500 0.500 0.598
0.000 0.500 0.783
0.500 0.000 0.783
```

space group: Cmm2
formation energy: 0.4838 eV/atom


An optimized crystal structure of EuHfBi2, computed with PBE.

The structure in POSCAR format:
```
EuHfBi2
1.0
3.524 0.000 0.000
-1.762 3.052 0.000
0.000 0.000 34.370
Eu Hf Bi
3 3 6
Direct
0.000 0.000 0.000
0.333 0.667 0.667
0.667 0.333 0.333
0.000 0.000 0.500
0.333 0.667 0.167
0.667 0.333 0.833
0.000 0.000 0.098
0.000 0.000 0.902
0.333 0.667 0.569
0.333 0.667 0.765
0.667 0.333 0.235
0.667 0.333 0.431
```

offset from the most stable computed form: 0.305 eV/atom
space group: R-3m
formation energy: -0.0275 eV/atom


An optimized crystal structure of K2LaTe, computed with PBE.

The structure in POSCAR format:
```
K2LaTe
1.0
4.800 0.000 0.000
0.000 4.800 0.000
0.000 0.000 13.729
K La Te
4 2 2
Direct
0.000 0.500 0.250
0.000 0.500 0.750
0.500 0.000 0.250
0.500 0.000 0.750
0.000 0.000 0.000
0.500 0.500 0.500
0.000 0.000 0.500
0.500 0.500 0.000
```

space group: I4/mmm
formation energy without anion corrections: -1.45 eV per formula unit


An optimized crystal structure of NiPt2Rh, computed with PBE.

The structure in POSCAR format:
```
NiPt2Rh
1.0
9.027 0.000 0.000
0.000 2.749 0.000
-0.854 0.000 4.639
Ni Pt Rh
2 4 2
Direct
0.000 0.000 0.000
0.500 0.500 0.000
0.247 0.500 0.247
0.253 0.000 0.753
0.747 0.000 0.247
0.753 0.500 0.753
0.000 0.500 0.500
0.500 0.000 0.500
```

space group: C2/m
formation energy: -0.0144 eV/atom